# 1
Entry from Alexandria via LeMat-Bulk: a relaxed S crystal (GGA-PBE).

Cell lengths 8.5966, 8.5966, 4.4091 Å; angles 90.00, 90.00, 120.00 degrees
Space group P3_221 (No. 154)
One atom of each set of equivalent atoms:
S: 0.0000 0.9019 0.3333 (multiplicity 3)
S: 0.2477 0.5601 0.5598 (multiplicity 6)

The spin magnetization is 0.0 μB per formula unit. Its theoretical density is 1.698 Mg/m³. As for the energy relative to the lowest polymorph listed for this composition: 40 meV/atom.

=====

# 2
Entry from Alexandria via LeMat-Bulk: a relaxed S crystal (GGA-PBE).

Cell lengths 13.482, 10.982, 9.316 Å; angles 90.00, 105.85, 90.00 degrees
Space group C2/c (No. 15)
One atom of each set of equivalent atoms:
S: 0.071 0.046 0.231 (multiplicity 8)
S: 0.071 0.447 0.730 (multiplicity 8)
S: 0.076 0.189 0.085 (multiplicity 8)
S: 0.158 0.412 0.350 (multiplicity 8)
S: 0.195 0.300 0.195 (multiplicity 8)

The spin magnetization is 0.0 μB per formula unit. Its theoretical density is 1.605 Mg/m³. As for the energy relative to the lowest polymorph listed for this composition: 31 meV/atom.

=====

# 3
Entry from Alexandria via LeMat-Bulk: a relaxed S crystal (GGA-PBE).

Cell lengths 3.974, 3.974, 3.974 Å; angles 90.00, 90.00, 90.00 degrees
Space group Fm-3m (No. 225)
One atom of each set of equivalent atoms:
S: 0.000 0.000 0.000 (multiplicity 4)

The spin magnetization is 0.0 μB per formula unit. Its theoretical density is 3.393 Mg/m³. As for the energy relative to the lowest polymorph listed for this composition: 1287 meV/atom.

=====

Asked for E_form (uncorrected) across the records above, the calculation gives 40, 31, 1287 meV per atom in order.
Asked for DOS(E_F) across the records above, the calculation gives 0.00, 0.00, 3.49 states/eV per cell in order.